Model a:
First-principles (PBE-GGA) data for a relaxed structure of KBiP3, as listed in Alexandria.

Properties
DOS at the Fermi energy   5.2 states/eV/f.u.
Density   4.10 Mg/m³
Magnetization   0.0 μB per formula unit

CIF file:
```
data_KBiP3
_chemical_formula_sum 'K1 Bi1 P3'
_cell_length_a 5.171
_cell_length_b 5.171
_cell_length_c 5.171
_cell_angle_alpha 90.00
_cell_angle_beta 90.00
_cell_angle_gamma 90.00
_space_group_name_H-M_alt 'P 1'
_space_group_IT_number 1
_space_group_name_Hall 'P 1'
loop_
_atom_site_label
_atom_site_type_symbol
_atom_site_fract_x
_atom_site_fract_y
_atom_site_fract_z
K1 K 0.000 0.000 0.000
Bi1 Bi 0.500 0.500 0.500
P1 P 0.000 0.000 0.500
P2 P 0.000 0.500 0.000
P3 P 0.500 0.000 0.000
```

***

Model b:
First-principles (PBE-GGA) data for a relaxed structure of KBiP3, as listed in Alexandria.

Properties
DOS at the Fermi energy   7.9 states/eV/f.u.
Density   3.63 Mg/m³
Magnetization   0.0 μB per formula unit

CIF file:
```
data_KBiP3
_chemical_formula_sum 'K1 Bi1 P3'
_cell_length_a 5.386
_cell_length_b 5.386
_cell_length_c 5.386
_cell_angle_alpha 90.00
_cell_angle_beta 90.00
_cell_angle_gamma 90.00
_space_group_name_H-M_alt 'P 1'
_space_group_IT_number 1
_space_group_name_Hall 'P 1'
loop_
_atom_site_label
_atom_site_type_symbol
_atom_site_fract_x
_atom_site_fract_y
_atom_site_fract_z
K1 K 0.000 0.000 0.000
Bi1 Bi 0.500 0.500 0.500
P1 P 0.000 0.500 0.500
P2 P 0.500 0.000 0.500
P3 P 0.500 0.500 0.000
```

***

Stability ranking, top entry: model b; the second entry is 90.0 kJ/mol of atoms less favorable.

***

Model a:
First-principles (PBE-GGA) data for a relaxed structure of KBiP2S, as listed in Alexandria.

Properties
DOS at the Fermi energy   5.4 states/eV/f.u.
Density   4.37 Mg/m³
Magnetization   0.0 μB per formula unit

CIF file:
```
data_KBiP2S
_chemical_formula_sum 'K1 Bi1 P2 S1'
_cell_length_a 4.947
_cell_length_b 4.947
_cell_length_c 5.317
_cell_angle_alpha 90.00
_cell_angle_beta 90.00
_cell_angle_gamma 90.00
_space_group_name_H-M_alt 'P 1'
_space_group_IT_number 1
_space_group_name_Hall 'P 1'
loop_
_atom_site_label
_atom_site_type_symbol
_atom_site_fract_x
_atom_site_fract_y
_atom_site_fract_z
K1 K 0.000 0.000 0.000
Bi1 Bi 0.500 0.500 0.000
P1 P 0.000 0.500 0.500
P2 P 0.500 0.000 0.500
S1 S 0.500 0.500 0.500
```

***

Model b:
First-principles (PBE-GGA) data for a relaxed structure of KBiP2S, as listed in Alexandria.

Properties
DOS at the Fermi energy   2.7 states/eV/f.u.
Density   3.52 Mg/m³
Magnetization   2.7 μB per formula unit

CIF file:
```
data_KBiP2S
_chemical_formula_sum 'K1 Bi1 P2 S1'
_cell_length_a 5.428
_cell_length_b 5.428
_cell_length_c 5.473
_cell_angle_alpha 90.00
_cell_angle_beta 90.00
_cell_angle_gamma 90.00
_space_group_name_H-M_alt 'P 1'
_space_group_IT_number 1
_space_group_name_Hall 'P 1'
loop_
_atom_site_label
_atom_site_type_symbol
_atom_site_fract_x
_atom_site_fract_y
_atom_site_fract_z
K1 K 0.000 0.000 0.000
Bi1 Bi 0.500 0.500 0.500
P1 P 0.000 0.500 0.500
P2 P 0.500 0.000 0.500
S1 S 0.500 0.500 0.000
```

***

Stability ranking, top entry: model b; the second entry is 4.9 kJ/mol of atoms less favorable.

***

Model a:
First-principles (PBE-GGA) data for a relaxed structure of KPaBi2, as listed in Alexandria.

Properties
DOS at the Fermi energy   6.3 states/eV/f.u.
Density   8.87 Mg/m³
Magnetization   1.7 μB per formula unit

CIF file:
```
data_KPaBi2
_chemical_formula_sum 'K1 Pa1 Bi2'
_cell_length_a 3.621
_cell_length_b 3.621
_cell_length_c 9.821
_cell_angle_alpha 90.00
_cell_angle_beta 90.00
_cell_angle_gamma 90.00
_space_group_name_H-M_alt 'P 1'
_space_group_IT_number 1
_space_group_name_Hall 'P 1'
loop_
_atom_site_label
_atom_site_type_symbol
_atom_site_fract_x
_atom_site_fract_y
_atom_site_fract_z
K1 K 0.000 0.000 0.000
Pa1 Pa 0.000 0.000 0.500
Bi1 Bi 0.500 0.500 0.274
Bi2 Bi 0.500 0.500 0.726
```

***

Model b:
First-principles (PBE-GGA) data for a relaxed structure of KPaBi2, as listed in Alexandria.

Properties
Density   7.38 Mg/m³
Magnetization   0.0 μB per formula unit

CIF file:
```
data_KPaBi2
_chemical_formula_sum 'K1 Pa1 Bi2'
_cell_length_a 8.700
_cell_length_b 8.700
_cell_length_c 8.700
_cell_angle_alpha 30.98
_cell_angle_beta 30.98
_cell_angle_gamma 30.98
_space_group_name_H-M_alt 'P 1'
_space_group_IT_number 1
_space_group_name_Hall 'P 1'
loop_
_atom_site_label
_atom_site_type_symbol
_atom_site_fract_x
_atom_site_fract_y
_atom_site_fract_z
K1 K 0.000 0.000 0.000
Pa1 Pa 0.500 0.500 0.500
Bi1 Bi 0.233 0.233 0.233
Bi2 Bi 0.767 0.767 0.767
```

***

Model c:
First-principles (PBE-GGA) data for a relaxed structure of KPaBi2, as listed in Alexandria.

Properties
Density   7.31 Mg/m³
Magnetization   0.0 μB per formula unit

CIF file:
```
data_KPaBi2
_chemical_formula_sum 'K1 Pa1 Bi2'
_cell_length_a 8.848
_cell_length_b 8.848
_cell_length_c 8.848
_cell_angle_alpha 30.31
_cell_angle_beta 30.31
_cell_angle_gamma 30.31
_space_group_name_H-M_alt 'P 1'
_space_group_IT_number 1
_space_group_name_Hall 'P 1'
loop_
_atom_site_label
_atom_site_type_symbol
_atom_site_fract_x
_atom_site_fract_y
_atom_site_fract_z
K1 K 0.000 0.000 0.000
Pa1 Pa 0.170 0.170 0.170
Bi1 Bi 0.569 0.569 0.569
Bi2 Bi 0.770 0.770 0.770
```

***

Stability ranking, top entry: model b; the second entry is 1.4 kJ/mol of atoms less favorable.

***

Model a:
First-principles (PBE-GGA) data for a relaxed structure of KBi3Pb3, as listed in Alexandria.

Properties
DOS at the Fermi energy   5.9 states/eV/f.u.
Density   6.21 Mg/m³
Magnetization   0.0 μB per formula unit

CIF file:
```
data_KBi3Pb3
_chemical_formula_sum 'K2 Bi6 Pb6'
_cell_length_a 8.832
_cell_length_b 8.832
_cell_length_c 8.832
_cell_angle_alpha 90.00
_cell_angle_beta 90.00
_cell_angle_gamma 90.00
_space_group_name_H-M_alt 'P 1'
_space_group_IT_number 1
_space_group_name_Hall 'P 1'
loop_
_atom_site_label
_atom_site_type_symbol
_atom_site_fract_x
_atom_site_fract_y
_atom_site_fract_z
K1 K 0.000 0.000 0.000
K2 K 0.500 0.500 0.500
Bi1 Bi 0.000 0.250 0.500
Bi2 Bi 0.000 0.750 0.500
Bi3 Bi 0.250 0.500 0.000
Bi4 Bi 0.500 0.000 0.250
Bi5 Bi 0.500 0.000 0.750
Bi6 Bi 0.750 0.500 0.000
Pb1 Pb 0.000 0.500 0.250
Pb2 Pb 0.000 0.500 0.750
Pb3 Pb 0.250 0.000 0.500
Pb4 Pb 0.500 0.250 0.000
Pb5 Pb 0.500 0.750 0.000
Pb6 Pb 0.750 0.000 0.500
```

***

Model b:
First-principles (PBE-GGA) data for a relaxed structure of KBi3Pb3, as listed in Alexandria.

Properties
DOS at the Fermi energy   2.4 states/eV/f.u.
Density   7.58 Mg/m³
Magnetization   0.0 μB per formula unit

CIF file:
```
data_KBi3Pb3
_chemical_formula_sum 'K2 Bi6 Pb6'
_cell_length_a 9.247
_cell_length_b 9.247
_cell_length_c 9.247
_cell_angle_alpha 60.41
_cell_angle_beta 60.41
_cell_angle_gamma 60.41
_space_group_name_H-M_alt 'P 1'
_space_group_IT_number 1
_space_group_name_Hall 'P 1'
loop_
_atom_site_label
_atom_site_type_symbol
_atom_site_fract_x
_atom_site_fract_y
_atom_site_fract_z
K1 K 0.167 0.167 0.167
K2 K 0.833 0.833 0.833
Bi1 Bi 0.101 0.422 0.746
Bi2 Bi 0.254 0.899 0.578
Bi3 Bi 0.422 0.746 0.101
Bi4 Bi 0.578 0.254 0.899
Bi5 Bi 0.746 0.101 0.422
Bi6 Bi 0.899 0.578 0.254
Pb1 Pb 0.044 0.721 0.384
Pb2 Pb 0.279 0.616 0.956
Pb3 Pb 0.384 0.044 0.721
Pb4 Pb 0.616 0.956 0.279
Pb5 Pb 0.721 0.384 0.044
Pb6 Pb 0.956 0.279 0.616
```

***

Stability ranking, top entry: model b; the second entry is 12.3 kJ/mol of atoms less favorable.

***

Model a:
First-principles (PBE-GGA) data for a relaxed structure of KBi4Pb6, as listed in Alexandria.

Properties
DOS at the Fermi energy   3.3 states/eV/f.u.
Density   8.85 Mg/m³
Magnetization   0.0 μB per formula unit

CIF file:
```
data_KBi4Pb6
_chemical_formula_sum 'K1 Bi4 Pb6'
_cell_length_a 9.677
_cell_length_b 9.677
_cell_length_c 4.903
_cell_angle_alpha 90.00
_cell_angle_beta 90.00
_cell_angle_gamma 120.00
_space_group_name_H-M_alt 'P 1'
_space_group_IT_number 1
_space_group_name_Hall 'P 1'
loop_
_atom_site_label
_atom_site_type_symbol
_atom_site_fract_x
_atom_site_fract_y
_atom_site_fract_z
K1 K 0.000 0.000 0.000
Bi1 Bi 0.333 0.667 0.000
Bi2 Bi 0.369 0.184 0.500
Bi3 Bi 0.816 0.184 0.500
Bi4 Bi 0.816 0.631 0.500
Pb1 Pb 0.195 0.390 0.500
Pb2 Pb 0.195 0.805 0.500
Pb3 Pb 0.544 0.087 0.000
Pb4 Pb 0.544 0.456 0.000
Pb5 Pb 0.610 0.805 0.500
Pb6 Pb 0.913 0.456 0.000
```

***

Model b:
First-principles (PBE-GGA) data for a relaxed structure of KBi4Pb6, as listed in Alexandria.

Properties
DOS at the Fermi energy   6.1 states/eV/f.u.
Density   8.33 Mg/m³
Magnetization   0.0 μB per formula unit

CIF file:
```
data_KBi4Pb6
_chemical_formula_sum 'K1 Bi4 Pb6'
_cell_length_a 16.734
_cell_length_b 16.734
_cell_length_c 16.734
_cell_angle_alpha 162.53
_cell_angle_beta 162.53
_cell_angle_gamma 24.81
_space_group_name_H-M_alt 'P 1'
_space_group_IT_number 1
_space_group_name_Hall 'P 1'
loop_
_atom_site_label
_atom_site_type_symbol
_atom_site_fract_x
_atom_site_fract_y
_atom_site_fract_z
K1 K 0.000 0.000 0.000
Bi1 Bi 0.183 0.183 0.000
Bi2 Bi 0.448 0.448 0.000
Bi3 Bi 0.552 0.552 0.000
Bi4 Bi 0.817 0.817 0.000
Pb1 Pb 0.114 0.614 0.500
Pb2 Pb 0.250 0.750 0.500
Pb3 Pb 0.386 0.886 0.500
Pb4 Pb 0.614 0.114 0.500
Pb5 Pb 0.750 0.250 0.500
Pb6 Pb 0.886 0.386 0.500
```

***

Stability ranking, top entry: model a; the second entry is 1.5 kJ/mol of atoms less favorable.

***

Model a:
First-principles (PBE-GGA) data for a relaxed structure of K2BiPb, as listed in Alexandria.

Properties
DOS at the Fermi energy   2.2 states/eV/f.u.
Density   4.94 Mg/m³
Magnetization   0.0 μB per formula unit

CIF file:
```
data_K2BiPb
_chemical_formula_sum 'K4 Bi2 Pb2'
_cell_length_a 7.008
_cell_length_b 7.008
_cell_length_c 10.351
_cell_angle_alpha 115.88
_cell_angle_beta 115.88
_cell_angle_gamma 48.04
_space_group_name_H-M_alt 'P 1'
_space_group_IT_number 1
_space_group_name_Hall 'P 1'
loop_
_atom_site_label
_atom_site_type_symbol
_atom_site_fract_x
_atom_site_fract_y
_atom_site_fract_z
K1 K 0.000 0.000 0.000
K2 K 0.000 0.000 0.499
K3 K 0.381 0.381 0.664
K4 K 0.620 0.620 0.334
Bi1 Bi 0.308 0.308 0.266
Bi2 Bi 0.692 0.692 0.731
Pb1 Pb 0.298 0.298 0.945
Pb2 Pb 0.701 0.701 0.052
```

***

Model b:
First-principles (PBE-GGA) data for a relaxed structure of K2BiPb, as listed in Alexandria.

Properties
DOS at the Fermi energy   3.6 states/eV/f.u.
Density   5.53 Mg/m³
Magnetization   0.0 μB per formula unit

CIF file:
```
data_K2BiPb
_chemical_formula_sum 'K2 Bi1 Pb1'
_cell_length_a 5.945
_cell_length_b 5.945
_cell_length_c 5.945
_cell_angle_alpha 60.00
_cell_angle_beta 60.00
_cell_angle_gamma 60.00
_space_group_name_H-M_alt 'P 1'
_space_group_IT_number 1
_space_group_name_Hall 'P 1'
loop_
_atom_site_label
_atom_site_type_symbol
_atom_site_fract_x
_atom_site_fract_y
_atom_site_fract_z
K1 K 0.250 0.250 0.250
K2 K 0.750 0.750 0.750
Bi1 Bi 0.000 0.000 0.000
Pb1 Pb 0.500 0.500 0.500
```

***

Model c:
First-principles (PBE-GGA) data for a relaxed structure of K2BiPb, as listed in Alexandria.

Properties
DOS at the Fermi energy   3.1 states/eV/f.u.
Density   5.01 Mg/m³
Magnetization   0.0 μB per formula unit

CIF file:
```
data_K2BiPb
_chemical_formula_sum 'K4 Bi2 Pb2'
_cell_length_a 7.835
_cell_length_b 7.835
_cell_length_c 7.835
_cell_angle_alpha 99.62
_cell_angle_beta 99.62
_cell_angle_gamma 131.74
_space_group_name_H-M_alt 'P 1'
_space_group_IT_number 1
_space_group_name_Hall 'P 1'
loop_
_atom_site_label
_atom_site_type_symbol
_atom_site_fract_x
_atom_site_fract_y
_atom_site_fract_z
K1 K 0.109 0.625 0.984
K2 K 0.375 0.359 0.484
K3 K 0.641 0.125 0.016
K4 K 0.875 0.891 0.516
Bi1 Bi 0.000 0.000 0.000
Bi2 Bi 0.750 0.250 0.500
Pb1 Pb 0.250 0.750 0.500
Pb2 Pb 0.500 0.500 0.000
```

***

Stability ranking, top entry: model a; the second entry is 11.1 kJ/mol of atoms less favorable.

***

Model a:
First-principles (PBE-GGA) data for a relaxed structure of K2BiPb, as listed in Alexandria.

Properties
DOS at the Fermi energy   1.9 states/eV/f.u.
Density   4.23 Mg/m³
Magnetization   0.0 μB per formula unit

CIF file:
```
data_K2BiPb
_chemical_formula_sum 'K2 Bi1 Pb1'
_cell_length_a 6.942
_cell_length_b 6.942
_cell_length_c 6.942
_cell_angle_alpha 131.31
_cell_angle_beta 74.34
_cell_angle_gamma 127.57
_space_group_name_H-M_alt 'P 1'
_space_group_IT_number 1
_space_group_name_Hall 'P 1'
loop_
_atom_site_label
_atom_site_type_symbol
_atom_site_fract_x
_atom_site_fract_y
_atom_site_fract_z
K1 K 0.184 0.000 0.184
K2 K 0.816 0.000 0.816
Bi1 Bi 0.776 0.276 0.500
Pb1 Pb 0.278 0.778 0.500
```

***

Model b:
First-principles (PBE-GGA) data for a relaxed structure of K2BiPb, as listed in Alexandria.

Properties
DOS at the Fermi energy   3.2 states/eV/f.u.
Density   5.73 Mg/m³
Magnetization   0.0 μB per formula unit

CIF file:
```
data_K2BiPb
_chemical_formula_sum 'K2 Bi1 Pb1'
_cell_length_a 5.088
_cell_length_b 5.088
_cell_length_c 5.536
_cell_angle_alpha 90.00
_cell_angle_beta 90.00
_cell_angle_gamma 90.00
_space_group_name_H-M_alt 'P 1'
_space_group_IT_number 1
_space_group_name_Hall 'P 1'
loop_
_atom_site_label
_atom_site_type_symbol
_atom_site_fract_x
_atom_site_fract_y
_atom_site_fract_z
K1 K 0.000 0.500 0.000
K2 K 0.500 0.000 0.000
Bi1 Bi 0.000 0.000 0.500
Pb1 Pb 0.500 0.500 0.500
```

***

Stability ranking, top entry: model b; the second entry is 5.1 kJ/mol of atoms less favorable.

***

Model a:
First-principles (PBE-GGA) data for a relaxed structure of KBi2Pb2, as listed in Alexandria.

Properties
DOS at the Fermi energy   1.9 states/eV/f.u.
Density   8.09 Mg/m³
Magnetization   0.0 μB per formula unit

CIF file:
```
data_KBi2Pb2
_chemical_formula_sum 'K2 Bi4 Pb4'
_cell_length_a 9.699
_cell_length_b 9.699
_cell_length_c 3.803
_cell_angle_alpha 90.00
_cell_angle_beta 90.00
_cell_angle_gamma 90.00
_space_group_name_H-M_alt 'P 1'
_space_group_IT_number 1
_space_group_name_Hall 'P 1'
loop_
_atom_site_label
_atom_site_type_symbol
_atom_site_fract_x
_atom_site_fract_y
_atom_site_fract_z
K1 K 0.000 0.000 0.000
K2 K 0.500 0.500 0.000
Bi1 Bi 0.162 0.338 0.500
Bi2 Bi 0.338 0.838 0.500
Bi3 Bi 0.662 0.162 0.500
Bi4 Bi 0.838 0.662 0.500
Pb1 Pb 0.125 0.625 0.000
Pb2 Pb 0.375 0.125 0.000
Pb3 Pb 0.625 0.875 0.000
Pb4 Pb 0.875 0.375 0.000
```

***

Model b:
First-principles (PBE-GGA) data for a relaxed structure of KBi2Pb2, as listed in Alexandria.

Properties
DOS at the Fermi energy   2.1 states/eV/f.u.
Density   7.67 Mg/m³
Magnetization   0.0 μB per formula unit

CIF file:
```
data_KBi2Pb2
_chemical_formula_sum 'K2 Bi4 Pb4'
_cell_length_a 15.631
_cell_length_b 15.631
_cell_length_c 15.631
_cell_angle_alpha 161.89
_cell_angle_beta 161.46
_cell_angle_gamma 26.03
_space_group_name_H-M_alt 'P 1'
_space_group_IT_number 1
_space_group_name_Hall 'P 1'
loop_
_atom_site_label
_atom_site_type_symbol
_atom_site_fract_x
_atom_site_fract_y
_atom_site_fract_z
K1 K 0.329 0.079 0.250
K2 K 0.671 0.921 0.750
Bi1 Bi 0.115 0.365 0.750
Bi2 Bi 0.221 0.471 0.750
Bi3 Bi 0.779 0.529 0.250
Bi4 Bi 0.885 0.635 0.250
Pb1 Pb 0.045 0.795 0.250
Pb2 Pb 0.456 0.706 0.750
Pb3 Pb 0.544 0.294 0.250
Pb4 Pb 0.955 0.205 0.750
```

***

Stability ranking, top entry: model b; the second entry is 2.9 kJ/mol of atoms less favorable.